## 1
First-principles (PBE) data for Tl3Pt after structural relaxation, as listed in Alexandria.

Cell lengths 5.7496, 5.7496, 3.2898 Å; angles 90.00, 90.00, 113.01 degrees
Positions (direct):
Pt 0.0000 0.0000 0.0000
Tl 0.0000 0.5000 0.5000
Tl 0.5000 0.0000 0.5000
Tl 0.5000 0.5000 0.0000

- total moment (μB/cell) = 0.00
- V (Å³ per cell) = 100.10
- DOS at the Fermi energy (states/eV/cell) = 1.80

***

## 2
First-principles (PBE) data for Tl3Pt after structural relaxation, as listed in Alexandria.

Cell lengths 5.7601, 11.8269, 11.8269 Å; angles 90.00, 90.00, 90.00 degrees
Positions (direct):
Tl 0.0004 0.2738 0.8225
Tl 0.0004 0.7262 0.1775
Tl 0.5004 0.6775 0.7738
Tl 0.5004 0.3225 0.2262
Tl 0.4996 0.2262 0.6775
Tl 0.4996 0.7738 0.3225
Tl 0.9996 0.8225 0.7262
Tl 0.9996 0.1775 0.2738
Tl 0.5102 0.3901 0.9202
Tl 0.5102 0.6099 0.0798
Tl 0.0102 0.5798 0.8901
Tl 0.0102 0.4202 0.1099
Tl 0.9898 0.1099 0.5798
Tl 0.9898 0.8901 0.4202
Tl 0.4898 0.9202 0.6099
Tl 0.4898 0.0798 0.3901
Tl 0.7301 0.0278 0.8645
Tl 0.7301 0.9722 0.1355
Tl 0.2301 0.6355 0.5278
Tl 0.2301 0.3645 0.4722
Tl 0.7699 0.4722 0.6355
Tl 0.7699 0.5278 0.3645
Tl 0.2699 0.8645 0.9722
Tl 0.2699 0.1355 0.0278
Pt 0.7682 0.7850 0.9571
Pt 0.7682 0.2150 0.0429
Pt 0.2682 0.5429 0.2850
Pt 0.2682 0.4571 0.7150
Pt 0.7318 0.7150 0.5429
Pt 0.7318 0.2850 0.4571
Pt 0.2318 0.9571 0.2150
Pt 0.2318 0.0429 0.7850

- total moment (μB/cell) = 0.00
- V (Å³ per cell) = 805.70
- DOS at the Fermi energy (states/eV/cell) = 15.76

***

Ranking the structures above from most stable to least stable yields 2, 1.